Computed, not measured: crystalline Y8NiPd2 at its relaxed geometry at the PBE level of DFT.

abc: 6.1299 7.5935 7.5935
angles: 112.30 101.27 101.27
With the nearest neighbours (Å) after each atom.
Fractional coordinates of all 11 atoms:
Y  0.5873  0.3447  0.0859  2 Pd 2.84-2.85, 1 Ni 2.96
Y  0.5873  0.0859  0.3447  2 Pd 2.84-2.85, 1 Ni 2.96
Y  0.1677  0.3580  0.3580  2 Pd 3.03, 1 Ni 3.05
Y  0.9838  0.2002  0.7976  1 Ni 2.83
Y  0.9838  0.7976  0.2002  1 Ni 2.83
Y  0.8060  0.6469  0.6469  2 Pd 3.01, 1 Ni 3.10
Y  0.3599  0.9213  0.6612  2 Pd 2.86-2.89, 1 Ni 2.89
Y  0.3599  0.6612  0.9213  2 Pd 2.86-2.89, 1 Ni 2.89
Ni  0.1882  0.0034  0.0034  8 Y 2.83-3.10
Pd  0.4879  0.6933  0.3214  6 Y 2.84-3.03
Pd  0.4879  0.3214  0.6933  6 Y 2.84-3.03

- Space group: No. 8
- ΔE_f: -0.2692 eV/atom
- Energy above the most stable polymorph in this dataset: 96 meV/atom